Computed, not measured: crystalline CoSbRuO6 at its relaxed geometry at the PBE with a Hubbard U level of DFT.

Summary:
Symmetry ... P-31c
Total energy ... -6.41 eV per atom
Size of the total moment ... 5.85 μB/f.u.

abc: 5.2085 5.2085 8.9405
angles: 90.00 90.00 120.00
Closest atoms and distances in Å follow each position.
Sites, in units of the cell vectors:
O1 0.6483 0.6539 0.1310  1 Ru 1.98, 1 Sb 2.02, 1 Co 2.16
O2 0.3461 0.3517 0.3690  1 Ru 1.98, 1 Sb 2.02, 1 Co 2.16
Co1 0.0000 0.0000 0.0000  6 O 2.16
O3 0.6539 0.0056 0.8690  1 Ru 1.98, 1 Sb 2.02, 1 Co 2.16
O4 0.3517 0.3461 0.8690  1 Ru 1.98, 1 Sb 2.02, 1 Co 2.16
Co2 0.0000 0.0000 0.5000  6 O 2.16
O5 0.6483 0.9944 0.3690  1 Ru 1.98, 1 Sb 2.02, 1 Co 2.16
O6 0.9944 0.6483 0.8690  1 Ru 1.98, 1 Sb 2.02, 1 Co 2.16
Sb1 0.3333 0.6667 0.7500  6 O 2.02
Sb2 0.6667 0.3333 0.2500  6 O 2.02
O7 0.6539 0.6483 0.6310  1 Ru 1.98, 1 Sb 2.02, 1 Co 2.16
O8 0.9944 0.3461 0.6310  1 Ru 1.98, 1 Sb 2.02, 1 Co 2.16
O9 0.0056 0.3517 0.1310  1 Ru 1.98, 1 Sb 2.02, 1 Co 2.16
Ru1 0.3333 0.6667 0.2500  6 O 1.98
O10 0.3461 0.9944 0.1310  1 Ru 1.98, 1 Sb 2.02, 1 Co 2.16
O11 0.0056 0.6539 0.3690  1 Ru 1.98, 1 Sb 2.02, 1 Co 2.16
O12 0.3517 0.0056 0.6310  1 Ru 1.98, 1 Sb 2.02, 1 Co 2.16
Ru2 0.6667 0.3333 0.7500  6 O 1.98